! Bi4O5F2 meta-GGA SCAN PBEsol geometry; values from VASP
&SYSTEM
  ibrav = 0, nat = 22, ntyp = 3
/
ATOMIC_SPECIES
Bi 208.98 Bi.upf
O 16.00 O.upf
F 19.00 F.upf
ATOMIC_POSITIONS crystal
Bi 0.3666 0.7657 0.7170
Bi 0.7851 0.7807 0.9586
Bi 0.1334 0.7657 0.2170
Bi 0.7149 0.7807 0.4586
Bi 0.2851 0.2193 0.5414
Bi 0.8666 0.2343 0.7830
Bi 0.2149 0.2193 0.0414
Bi 0.6334 0.2343 0.2830
O 0.5079 0.9265 0.5879
O 0.5000 0.0000 0.0000
O 0.6806 0.8735 0.7956
O 0.9921 0.9265 0.0879
O 0.0000 0.0000 0.5000
O 0.8194 0.8735 0.2956
O 0.1806 0.1265 0.7044
O 0.0079 0.0735 0.9121
O 0.3194 0.1265 0.2044
O 0.4921 0.0735 0.4121
F 0.6226 0.4724 0.6415
F 0.1226 0.5276 0.8585
F 0.8774 0.4724 0.1415
F 0.3774 0.5276 0.3585
CELL_PARAMETERS angstrom
-3.8732 -0.3780 3.7521
3.1042 -3.7200 2.8296
5.7700 10.3638 7.0003
! Theoretical density in g/cm³: 7.58
! Symmetry: P2_1/c
! Relative energy among the computed polymorphs in meV per atom: 67


! BiOsO2F meta-GGA SCAN PBEsol geometry; values from VASP
&SYSTEM
  ibrav = 0, nat = 5, ntyp = 4
/
ATOMIC_SPECIES
Os 190.23 Os.upf
Bi 208.98 Bi.upf
O 16.00 O.upf
F 19.00 F.upf
ATOMIC_POSITIONS crystal
Os 0.5000 0.5000 0.5000
Bi 0.0000 0.0000 0.0000
O 0.0000 0.0000 0.5000
O 0.0000 0.5000 0.0000
F 0.5000 0.0000 0.0000
CELL_PARAMETERS angstrom
4.3432 0.0000 0.0000
0.0000 4.3770 0.0000
0.0000 0.0000 4.3770
! Theoretical density in g/cm³: 8.98
! Total DFT energy (no corrections) in eV per atom: -32.811
! Symmetry: P4/mmm


> The lowest theoretical density belongs to which entry?

Bi4O5F2


> Which value of theoretical density does entry 2 give?

8.98 g/cm³


> Look up the theoretical density of the second one.

8.98 g/cm³